# 1
First-principles (SCAN) data for a crystal of ReBi3O8 relaxed with PBEsol, as listed in Alexandria via LeMat-Bulk.

a b c (Å): 11.457 11.457 11.457
angles (deg): 90.00 90.00 90.00
Space group I2_13 (No. 199)
One atom of each set of equivalent atoms:
1 Re 0.130 0.130 0.130 (multiplicity 8)
2 Bi 0.104 0.136 0.610 (multiplicity 24)
3 O 0.000 0.250 0.479 (multiplicity 12)
4 O 0.000 0.250 0.723 (multiplicity 12)
5 O 0.008 0.380 0.193 (multiplicity 24)
6 O 0.021 0.479 0.521 (multiplicity 8)
7 O 0.219 0.219 0.219 (multiplicity 8)

# 2
First-principles (SCAN) data for a crystal of Bi12Rh12O41 relaxed with PBEsol, as listed in Alexandria via LeMat-Bulk.

a b c (Å): 7.198 21.607 10.196
angles (deg): 90.00 90.00 90.00
Space group Imm2 (No. 44)
One atom of each set of equivalent atoms:
1 Bi 0.000 0.077 0.000 (multiplicity 4)
2 Bi 0.000 0.248 0.996 (multiplicity 4)
3 Bi 0.000 0.417 0.984 (multiplicity 4)
4 Bi 0.241 0.000 0.229 (multiplicity 4)
5 Bi 0.249 0.164 0.743 (multiplicity 8)
6 Rh 0.000 0.083 0.491 (multiplicity 4)
7 Rh 0.000 0.250 0.492 (multiplicity 4)
8 Rh 0.000 0.416 0.489 (multiplicity 4)
9 Rh 0.248 0.333 0.742 (multiplicity 8)
10 Rh 0.250 0.000 0.738 (multiplicity 4)
11 O 0.000 0.000 0.411 (multiplicity 2)
12 O 0.000 0.000 0.820 (multiplicity 2)
13 O 0.000 0.158 0.881 (multiplicity 4)
14 O 0.000 0.166 0.160 (multiplicity 4)
15 O 0.000 0.167 0.573 (multiplicity 4)
16 O 0.000 0.333 0.408 (multiplicity 4)
17 O 0.000 0.333 0.824 (multiplicity 4)
18 O 0.000 0.335 0.115 (multiplicity 4)
19 O 0.000 0.500 0.157 (multiplicity 2)
20 O 0.000 0.500 0.573 (multiplicity 2)
21 O 0.000 0.500 0.838 (multiplicity 2)
22 O 0.205 0.401 0.615 (multiplicity 8)
23 O 0.207 0.069 0.615 (multiplicity 8)
24 O 0.207 0.236 0.367 (multiplicity 8)
25 O 0.207 0.264 0.617 (multiplicity 8)
26 O 0.208 0.096 0.364 (multiplicity 8)
27 O 0.210 0.432 0.367 (multiplicity 8)

# 3
First-principles (SCAN) data for a crystal of Bi2RuO relaxed with PBEsol, as listed in Alexandria via LeMat-Bulk.

a b c (Å): 5.699 5.699 11.419
angles (deg): 90.00 90.00 90.00
Space group I-42d (No. 122)
One atom of each set of equivalent atoms:
1 Bi 0.217 0.250 0.125 (multiplicity 8)
2 Ru 0.000 0.000 0.500 (multiplicity 4)
3 O 0.000 0.000 0.000 (multiplicity 4)

# 4
First-principles (SCAN) data for a crystal of BiRuO2 relaxed with PBEsol, as listed in Alexandria via LeMat-Bulk.

a b c (Å): 3.0683 3.0683 22.0986
angles (deg): 90.00 90.00 120.00
Space group R-3m (No. 166, hexagonal axes)
One atom of each set of equivalent atoms:
1 Bi 0.0000 0.0000 0.0000 (multiplicity 3)
2 Ru 0.0000 0.0000 0.5000 (multiplicity 3)
3 O 0.0000 0.0000 0.4184 (multiplicity 6)

# 5
First-principles (SCAN) data for a crystal of BiRu2O7 relaxed with PBEsol, as listed in Alexandria via LeMat-Bulk.

a b c (Å): 7.113 7.139 9.972
angles (deg): 90.00 90.00 90.00
Space group I2_12_12_1 (No. 24)
One atom of each set of equivalent atoms:
1 Bi 0.250 0.250 0.000 (multiplicity 4)
2 Ru 0.000 0.000 0.250 (multiplicity 4)
3 Ru 0.250 0.250 0.500 (multiplicity 4)
4 O 0.000 0.250 0.175 (multiplicity 4)
5 O 0.000 0.250 0.549 (multiplicity 4)
6 O 0.000 0.250 0.882 (multiplicity 4)
7 O 0.190 0.043 0.380 (multiplicity 8)
8 O 0.190 0.457 0.380 (multiplicity 8)

# 6
First-principles (SCAN) data for a crystal of Zn2Bi6Ru8O27 relaxed with PBEsol, as listed in Alexandria via LeMat-Bulk.

a b c (Å): 10.155 10.090 10.137
angles (deg): 90.00 90.65 90.00
Space group C2 (No. 5)
One atom of each set of equivalent atoms:
1 Zn 0.082 0.000 0.142 (multiplicity 4)
2 Bi 0.126 0.228 0.370 (multiplicity 4)
3 Bi 0.128 0.737 0.888 (multiplicity 4)
4 Bi 0.132 0.478 0.637 (multiplicity 4)
5 Ru 0.123 0.480 0.126 (multiplicity 4)
6 Ru 0.124 0.731 0.373 (multiplicity 4)
7 Ru 0.126 0.979 0.624 (multiplicity 4)
8 Ru 0.127 0.228 0.875 (multiplicity 4)
9 O 0.000 0.057 0.500 (multiplicity 2)
10 O 0.000 0.124 0.000 (multiplicity 2)
11 O 0.000 0.357 0.500 (multiplicity 2)
12 O 0.000 0.559 0.000 (multiplicity 2)
13 O 0.000 0.666 0.500 (multiplicity 2)
14 O 0.001 0.353 0.209 (multiplicity 4)
15 O 0.003 0.862 0.283 (multiplicity 4)
16 O 0.036 0.605 0.249 (multiplicity 4)
17 O 0.049 0.110 0.744 (multiplicity 4)
18 O 0.187 0.344 0.013 (multiplicity 4)
19 O 0.200 0.855 0.498 (multiplicity 4)
20 O 0.237 0.614 0.064 (multiplicity 4)
21 O 0.238 0.098 0.213 (multiplicity 4)
22 O 0.244 0.308 0.747 (multiplicity 4)
23 O 0.247 0.603 0.448 (multiplicity 4)
24 O 0.250 0.395 0.251 (multiplicity 4)

# 7
First-principles (SCAN) data for a crystal of Bi2S2O relaxed with PBEsol, as listed in Alexandria via LeMat-Bulk.

a b c (Å): 3.933 3.933 13.854
angles (deg): 90.00 90.00 90.00
Space group P4/nmm (No. 129, origin choice 2)
One atom of each set of equivalent atoms:
1 Bi 0.250 0.250 0.091 (multiplicity 2)
2 Bi 0.250 0.250 0.632 (multiplicity 2)
3 S 0.250 0.250 0.396 (multiplicity 2)
4 S 0.250 0.250 0.813 (multiplicity 2)
5 O 0.250 0.750 0.000 (multiplicity 2)

# 8
First-principles (SCAN) data for a crystal of Bi2S3O12 relaxed with PBEsol, as listed in Alexandria via LeMat-Bulk.

a b c (Å): 8.808 9.428 14.480
angles (deg): 90.00 121.81 90.00
Space group P2_1/c (No. 14)
One atom of each set of equivalent atoms:
1 Bi 0.147 0.030 0.382 (multiplicity 4)
2 Bi 0.344 0.038 0.118 (multiplicity 4)
3 S 0.026 0.633 0.631 (multiplicity 4)
4 S 0.255 0.108 0.660 (multiplicity 4)
5 S 0.450 0.743 0.492 (multiplicity 4)
6 O 0.041 0.730 0.186 (multiplicity 4)
7 O 0.104 0.640 0.563 (multiplicity 4)
8 O 0.127 0.075 0.695 (multiplicity 4)
9 O 0.131 0.522 0.717 (multiplicity 4)
10 O 0.160 0.102 0.540 (multiplicity 4)
11 O 0.166 0.092 0.934 (multiplicity 4)
12 O 0.267 0.700 0.944 (multiplicity 4)
13 O 0.323 0.247 0.199 (multiplicity 4)
14 O 0.404 0.005 0.708 (multiplicity 4)
15 O 0.420 0.144 0.443 (multiplicity 4)
16 O 0.475 0.694 0.403 (multiplicity 4)
17 O 0.478 0.622 0.565 (multiplicity 4)

# 9
First-principles (SCAN) data for a crystal of Bi14SO24 relaxed with PBEsol, as listed in Alexandria via LeMat-Bulk.

a b c (Å): 12.227 17.051 8.636
angles (deg): 90.00 134.93 90.00
Space group Cm (No. 8)
One atom of each set of equivalent atoms:
1 Bi 0.000 0.000 0.000 (multiplicity 2)
2 Bi 0.048 0.161 0.341 (multiplicity 4)
3 Bi 0.100 0.000 0.685 (multiplicity 2)
4 Bi 0.158 0.334 0.740 (multiplicity 4)
5 Bi 0.252 0.167 0.151 (multiplicity 4)
6 Bi 0.258 0.500 0.098 (multiplicity 2)
7 Bi 0.340 0.331 0.516 (multiplicity 4)
8 Bi 0.342 0.000 0.579 (multiplicity 2)
9 Bi 0.434 0.169 0.932 (multiplicity 4)
10 S 0.009 0.500 0.331 (multiplicity 2)
11 O 0.030 0.500 0.524 (multiplicity 2)
12 O 0.045 0.119 0.836 (multiplicity 4)
13 O 0.045 0.381 0.835 (multiplicity 4)
14 O 0.082 0.428 0.339 (multiplicity 4)
15 O 0.128 0.246 0.172 (multiplicity 4)
16 O 0.177 0.079 0.285 (multiplicity 4)
17 O 0.229 0.080 0.651 (multiplicity 4)
18 O 0.290 0.245 0.658 (multiplicity 4)
19 O 0.301 0.255 0.010 (multiplicity 4)
20 O 0.340 0.000 0.126 (multiplicity 2)
21 O 0.366 0.421 0.028 (multiplicity 4)
22 O 0.417 0.421 0.389 (multiplicity 4)
23 O 0.470 0.254 0.501 (multiplicity 4)

# 10
First-principles (SCAN) data for a crystal of Bi2S3O12 relaxed with PBEsol, as listed in Alexandria via LeMat-Bulk.

a b c (Å): 9.0465 9.0465 24.2164
angles (deg): 90.00 90.00 120.00
Space group R-3 (No. 148, hexagonal axes)
One atom of each set of equivalent atoms:
1 Bi 0.0000 0.0000 0.1430 (multiplicity 6)
2 Bi 0.0000 0.0000 0.3489 (multiplicity 6)
3 S 0.0065 0.2881 0.7494 (multiplicity 18)
4 O 0.0079 0.7853 0.1947 (multiplicity 18)
5 O 0.0313 0.2209 0.0856 (multiplicity 18)
6 O 0.0715 0.4993 0.0624 (multiplicity 18)
7 O 0.0922 0.2251 0.7112 (multiplicity 18)

| no. | ΔE_f (raw) (eV per atom) |
| --- | --- |
| 1 | -1.3976 |
| 2 | -1.1104 |
| 3 | 0.1778 |
| 4 | -0.2018 |
| 5 | -0.9396 |
| 6 | -1.1790 |
| 7 | -0.6112 |
| 8 | -1.4853 |
| 9 | -1.2153 |
| 10 | -1.4785 |